Model one:
{
  "formula": "Ba3SrP",
  "functional": "GGA-PBEsol",
  "state": "optimized geometry",
  "cell": [[-2.9159, 0.8080, 5.4175], [-4.1160, -4.3726, -1.5632], [3.6140, -4.3280, 2.5907]],
  "species": ["Ba", "Sr", "P", "Ba", "Ba"],
  "frac_coords": [[0.0000, 0.5000, 0.0000], [0.0000, 0.0000, 0.0000], [0.5000, 0.5000, 0.5000], [0.5000, 0.0000, 0.0000], [0.0000, 0.0000, 0.5000]]
}

Model two:
{
  "formula": "Ba3SrP",
  "functional": "GGA-PBEsol",
  "state": "optimized geometry",
  "cell": [[-3.8250, 4.5034, -2.3226], [1.1592, -2.0551, -5.8939], [-4.9326, -3.9751, 0.4159]],
  "species": ["Ba", "Ba", "Ba", "Sr", "P"],
  "frac_coords": [[0.0000, 0.5000, 0.0000], [0.0000, 0.0000, 0.5000], [0.5000, 0.0000, 0.0000], [0.5000, 0.5000, 0.5000], [0.0000, 0.0000, 0.0000]]
}

Stability ranking, top entry: model two; the second entry is 127.1 kJ/mol of atoms less favorable.

Model one:
{
  "formula": "BaTcP2",
  "functional": "GGA-PBEsol",
  "state": "optimized geometry",
  "cell": [[3.8591, 0.0000, 0.0000], [-1.9296, 3.7967, -0.0124], [0.0000, -1.1452, 6.0486]],
  "species": ["P", "P", "Ba", "Tc"],
  "frac_coords": [[0.9623, 0.9247, 0.0854], [0.8170, 0.6341, 0.3781], [0.2165, 0.4330, 0.7510], [0.5041, 0.0083, 0.2856]]
}

Model two:
{
  "formula": "BaTcP2",
  "functional": "GGA-PBEsol",
  "state": "optimized geometry",
  "cell": [[-1.7425, -2.2312, 1.2475], [1.2275, -2.3625, -2.5107], [5.7655, -1.9177, 4.6234]],
  "species": ["P", "Ba", "Tc", "P"],
  "frac_coords": [[0.5000, 0.5000, 0.3632], [0.5000, 0.5000, 0.7708], [0.0000, 0.0000, 0.3297], [0.0000, 0.0000, 0.0363]]
}

Stability ranking, top entry: model one; the second entry is 40.3 kJ/mol of atoms less favorable.

Model one:
{
  "formula": "BaYP2",
  "functional": "GGA-PBEsol",
  "state": "optimized geometry",
  "cell": [[4.2493, 0.0000, 0.0000], [0.0000, 4.2493, 0.0000], [-2.1246, -2.1246, 5.4141]],
  "species": ["P", "Ba", "Y", "P"],
  "frac_coords": [[0.7500, 0.2500, 0.5000], [0.2500, 0.7500, 0.5000], [0.5000, 0.5000, 0.0000], [0.0000, 0.0000, 0.0000]]
}

Model two:
{
  "formula": "BaYP2",
  "functional": "GGA-PBEsol",
  "state": "optimized geometry",
  "cell": [[3.2169, 0.0000, 0.0000], [0.0000, 5.4178, 0.0000], [0.0000, 0.0000, 5.4178]],
  "species": ["Ba", "Y", "P", "P"],
  "frac_coords": [[0.5000, 0.5000, 0.5000], [0.5000, 0.0000, 0.0000], [0.0000, 0.0000, 0.5000], [0.0000, 0.5000, 0.0000]]
}

Model three:
{
  "formula": "BaYP2",
  "functional": "GGA-PBEsol",
  "state": "optimized geometry",
  "cell": [[-3.3615, 2.0315, -3.1053], [-0.9054, -2.1212, -4.4442], [-4.3626, -2.3135, -0.8275]],
  "species": ["P", "Ba", "Y", "P"],
  "frac_coords": [[0.0000, 0.0000, 0.0000], [0.5000, 0.5000, 0.5000], [0.2500, 0.2500, 0.2500], [0.7500, 0.7500, 0.7500]]
}

Stability ranking, top entry: model two; the second entry is 12.7 kJ/mol of atoms less favorable.

Model one:
{
  "formula": "BaSn2Pb2",
  "functional": "GGA-PBEsol",
  "state": "optimized geometry",
  "cell": [[-1.8455, 2.9447, -3.6049], [-4.6382, -0.8369, 1.6909], [3.7692, 4.2777, 5.0423]],
  "species": ["Sn", "Sn", "Pb", "Pb", "Ba"],
  "frac_coords": [[0.3944, 0.3944, 0.7889], [0.6056, 0.6056, 0.2111], [0.7500, 0.2500, 0.5000], [0.2500, 0.7500, 0.5000], [0.0000, 0.0000, 0.0000]]
}

Model two:
{
  "formula": "BaSn2Pb2",
  "functional": "GGA-PBEsol",
  "state": "optimized geometry",
  "cell": [[4.2295, 0.0000, 0.0000], [0.0000, 8.6978, 0.0000], [0.0000, 0.0000, 8.6978]],
  "species": ["Pb", "Ba", "Sn", "Pb", "Sn", "Pb", "Ba", "Sn", "Sn", "Pb"],
  "frac_coords": [[0.5000, 0.1554, 0.6554], [0.0000, 0.0000, 0.0000], [0.0000, 0.1206, 0.3794], [0.5000, 0.3446, 0.1554], [0.0000, 0.6206, 0.1206], [0.5000, 0.8446, 0.3446], [0.0000, 0.5000, 0.5000], [0.0000, 0.3794, 0.8794], [0.0000, 0.8794, 0.6206], [0.5000, 0.6554, 0.8446]]
}

Stability ranking, top entry: model one; the second entry is 3.8 kJ/mol of atoms less favorable.

Model one:
{
  "formula": "BaTcPb2",
  "functional": "GGA-PBEsol",
  "state": "optimized geometry",
  "cell": [[-1.4591, 3.7733, -2.3827], [-3.5229, -2.5127, -1.8219], [-2.8745, 1.2819, 3.7903]],
  "species": ["Tc", "Ba", "Pb", "Pb"],
  "frac_coords": [[0.5000, 0.5000, 0.5000], [0.0000, 0.0000, 0.5000], [0.5000, 0.0000, 0.0000], [0.0000, 0.5000, 0.0000]]
}

Model two:
{
  "formula": "BaTcPb2",
  "functional": "GGA-PBEsol",
  "state": "optimized geometry",
  "cell": [[3.3090, 0.0000, 0.0000], [0.0000, 6.1194, 0.0000], [-1.6545, -3.0597, 5.4237]],
  "species": ["Tc", "Pb", "Pb", "Ba"],
  "frac_coords": [[0.5000, 0.0000, 0.0000], [0.2046, 0.2046, 0.4092], [0.7954, 0.7954, 0.5908], [0.0000, 0.5000, 0.0000]]
}

Stability ranking, top entry: model two; the second entry is 27.5 kJ/mol of atoms less favorable.

Model one:
{
  "formula": "Ba2TePb",
  "functional": "GGA-PBEsol",
  "state": "optimized geometry",
  "cell": [[-0.2501, 3.0357, 3.0747], [3.3757, -3.0707, 3.3063], [4.7221, 1.8987, -4.5366]],
  "species": ["Ba", "Ba", "Pb", "Te"],
  "frac_coords": [[0.0005, 0.1479, 0.0010], [0.2500, 0.5990, 0.4999], [0.5222, 0.6669, 0.0444], [0.7273, 0.0862, 0.4547]]
}

Model two:
{
  "formula": "Ba2TePb",
  "functional": "GGA-PBEsol",
  "state": "optimized geometry",
  "cell": [[4.9251, 0.0000, 0.0000], [0.0000, 4.9251, 0.0000], [-2.4625, -2.4625, 6.0930]],
  "species": ["Pb", "Ba", "Ba", "Te"],
  "frac_coords": [[0.5000, 0.5000, 0.0000], [0.0000, 0.0000, 0.0000], [0.7500, 0.2500, 0.5000], [0.2500, 0.7500, 0.5000]]
}

Stability ranking, top entry: model one; the second entry is 9.8 kJ/mol of atoms less favorable.

Model one:
{
  "formula": "BaTl2Pb",
  "functional": "GGA-PBEsol",
  "state": "optimized geometry",
  "cell": [[-1.2616, 3.2694, 3.5308], [-4.8112, -0.7900, -0.9877], [-0.0899, -3.7282, 3.4200]],
  "species": ["Pb", "Tl", "Ba", "Tl"],
  "frac_coords": [[0.0000, 0.0000, 0.5000], [0.5000, 0.0000, 0.0000], [0.5000, 0.5000, 0.5000], [0.0000, 0.5000, 0.0000]]
}

Model two:
{
  "formula": "BaTl2Pb",
  "functional": "GGA-PBEsol",
  "state": "optimized geometry",
  "cell": [[3.7135, 0.0000, -0.0188], [0.0000, 5.4665, 0.0000], [-0.5799, 0.0000, 6.3937]],
  "species": ["Tl", "Tl", "Pb", "Ba"],
  "frac_coords": [[0.8192, 0.0000, 0.7283], [0.1808, 0.0000, 0.2717], [0.0000, 0.5000, 0.5000], [0.5000, 0.5000, 0.0000]]
}

Model three:
{
  "formula": "BaTl2Pb",
  "functional": "GGA-PBEsol",
  "state": "optimized geometry",
  "cell": [[5.2825, 0.0000, 0.0000], [0.0000, 5.2825, 0.0000], [-2.6412, -2.6412, 4.5648]],
  "species": ["Tl", "Ba", "Tl", "Pb"],
  "frac_coords": [[0.0000, 0.0000, 0.0000], [0.5000, 0.5000, 0.0000], [0.7500, 0.2500, 0.5000], [0.2500, 0.7500, 0.5000]]
}

Model four:
{
  "formula": "BaTl2Pb",
  "functional": "GGA-PBEsol",
  "state": "optimized geometry",
  "cell": [[-1.8410, -4.9644, 1.3063], [3.7389, 2.5423, 3.5473], [-1.8474, 1.9355, 4.7521]],
  "species": ["Pb", "Tl", "Ba", "Tl"],
  "frac_coords": [[0.0000, 0.0000, 0.0000], [0.2500, 0.5000, 0.2500], [0.5000, 0.0000, 0.5000], [0.7500, 0.5000, 0.7500]]
}

Stability ranking, top entry: model four; the second entry is 3.4 kJ/mol of atoms less favorable.

Model one:
{
  "formula": "BaTl2Pb",
  "functional": "GGA-PBEsol",
  "state": "optimized geometry",
  "cell": [[4.8884, 0.0000, 0.0000], [-2.4442, 4.8551, -0.0299], [0.0000, -2.1645, 5.5808]],
  "species": ["Pb", "Tl", "Tl", "Ba"],
  "frac_coords": [[0.7395, 0.4790, 0.1906], [0.9977, 0.9955, 0.9873], [0.2621, 0.5243, 0.8171], [0.5006, 0.0013, 0.5051]]
}

Model two:
{
  "formula": "BaTl2Pb",
  "functional": "GGA-PBEsol",
  "state": "optimized geometry",
  "cell": [[-1.9040, -0.3656, 3.3232], [-3.6652, -0.9231, -2.2014], [1.7451, -7.3777, 0.1882]],
  "species": ["Tl", "Pb", "Tl", "Ba"],
  "frac_coords": [[0.5000, 0.5000, 0.2086], [0.5000, 0.5000, 0.7937], [0.0000, 0.0000, 0.0004], [0.0000, 0.0000, 0.4973]]
}

Stability ranking, top entry: model one; the second entry is 3.6 kJ/mol of atoms less favorable.

Model one:
{
  "formula": "BaZnPb3",
  "functional": "GGA-PBEsol",
  "state": "optimized geometry",
  "cell": [[6.2424, 0.0000, 0.0000], [0.0000, 6.2424, 0.0000], [0.0000, 0.0000, 6.2424]],
  "species": ["Pb", "Ba", "Pb", "Pb", "Zn"],
  "frac_coords": [[0.5000, 0.0000, 0.0000], [0.0000, 0.0000, 0.0000], [0.0000, 0.0000, 0.5000], [0.0000, 0.5000, 0.0000], [0.5000, 0.5000, 0.5000]]
}

Model two:
{
  "formula": "BaZnPb3",
  "functional": "GGA-PBEsol",
  "state": "optimized geometry",
  "cell": [[5.4291, 0.0000, 0.0000], [0.0000, 5.4291, 0.0000], [0.0000, 0.0000, 5.4291]],
  "species": ["Pb", "Ba", "Zn", "Pb", "Pb"],
  "frac_coords": [[0.0000, 0.0000, 0.5000], [0.5000, 0.5000, 0.5000], [0.0000, 0.0000, 0.0000], [0.0000, 0.5000, 0.0000], [0.5000, 0.0000, 0.0000]]
}

Stability ranking, top entry: model two; the second entry is 114.8 kJ/mol of atoms less favorable.

Model one:
{
  "formula": "BaPt5",
  "functional": "GGA-PBEsol",
  "state": "optimized geometry",
  "cell": [[2.9052, 0.0000, 0.0000], [-1.4526, 6.1334, 0.0119], [0.0000, -0.3411, 6.6493]],
  "species": ["Pt", "Pt", "Ba", "Pt", "Pt", "Pt"],
  "frac_coords": [[0.3422, 0.6845, 0.3003], [0.6621, 0.3242, 0.6426], [0.0408, 0.0815, 0.0285], [0.7763, 0.5525, 0.9952], [0.9993, 0.9987, 0.5107], [0.3460, 0.6920, 0.6894]]
}

Model two:
{
  "formula": "BaPt5",
  "functional": "GGA-PBEsol",
  "state": "optimized geometry",
  "cell": [[-1.4349, 4.0330, 0.4264], [-0.6582, 0.3442, -5.4709], [-4.1423, -1.8090, 3.1704]],
  "species": ["Pt", "Ba", "Pt", "Pt", "Pt", "Pt"],
  "frac_coords": [[0.0000, 0.6667, 0.3333], [0.0000, 0.0000, 0.0000], [0.0000, 0.3333, 0.6667], [0.5000, 0.5000, 0.0000], [0.5000, 0.0000, 0.5000], [0.5000, 0.5000, 0.5000]]
}

Stability ranking, top entry: model two; the second entry is 38.9 kJ/mol of atoms less favorable.

Model one:
{
  "formula": "BaRe2Pt",
  "functional": "GGA-PBEsol",
  "state": "optimized geometry",
  "cell": [[-0.4541, 1.5128, 2.8187], [-4.9508, -2.5179, 0.5537], [4.8208, -3.1558, 0.6185]],
  "species": ["Re", "Ba", "Pt", "Re"],
  "frac_coords": [[0.0100, 0.0100, 0.0200], [0.5030, 0.5030, 0.0060], [0.2985, 0.7985, 0.5969], [0.6885, 0.1885, 0.3771]]
}

Model two:
{
  "formula": "BaRe2Pt",
  "functional": "GGA-PBEsol",
  "state": "optimized geometry",
  "cell": [[-0.9500, -2.5036, -0.9130], [1.8855, 0.6044, -3.6192], [5.8394, -3.1344, 2.5187]],
  "species": ["Re", "Pt", "Ba", "Re"],
  "frac_coords": [[0.0000, 0.0000, 0.6635], [0.5000, 0.5000, 0.5000], [0.5000, 0.5000, 0.0000], [0.0000, 0.0000, 0.3365]]
}

Model three:
{
  "formula": "BaRe2Pt",
  "functional": "GGA-PBEsol",
  "state": "optimized geometry",
  "cell": [[4.7208, 0.0000, 0.0000], [2.3604, 4.0884, 0.0000], [2.3604, 1.3628, 3.8546]],
  "species": ["Pt", "Re", "Ba", "Re"],
  "frac_coords": [[0.2500, 0.2500, 0.2500], [0.7500, 0.7500, 0.7500], [0.5000, 0.5000, 0.5000], [0.0000, 0.0000, 0.0000]]
}

Stability ranking, top entry: model two; the second entry is 8.6 kJ/mol of atoms less favorable.

Model one:
{
  "formula": "BaRePt2",
  "functional": "GGA-PBEsol",
  "state": "optimized geometry",
  "cell": [[-0.3491, 2.3344, 1.7880], [1.4016, -1.4507, 2.1677], [7.5742, 3.2286, -2.7365]],
  "species": ["Ba", "Pt", "Pt", "Re"],
  "frac_coords": [[0.5000, 0.5000, 0.5000], [0.0000, 0.0000, 0.1941], [0.0000, 0.0000, 0.8059], [0.5000, 0.5000, 0.0000]]
}

Model two:
{
  "formula": "BaRePt2",
  "functional": "GGA-PBEsol",
  "state": "optimized geometry",
  "cell": [[3.7668, 0.0000, 0.0000], [1.8834, 5.1833, -0.0112], [1.8834, 2.0678, 4.7530]],
  "species": ["Pt", "Pt", "Ba", "Re"],
  "frac_coords": [[0.6852, 0.3148, 0.3148], [0.3148, 0.6852, 0.6852], [0.5000, 0.0000, 0.0000], [0.0000, 0.5000, 0.5000]]
}

Stability ranking, top entry: model one; the second entry is 42.5 kJ/mol of atoms less favorable.

Model one:
{
  "formula": "BaPtRh2",
  "functional": "GGA-PBEsol",
  "state": "optimized geometry",
  "cell": [[-0.7540, -3.9421, 1.8523], [1.7741, -0.9708, 3.9306], [-4.0711, 0.3753, 4.4158]],
  "species": ["Ba", "Pt", "Rh", "Rh"],
  "frac_coords": [[0.4960, 0.4960, 0.5119], [0.3065, 0.3065, 0.0806], [0.6813, 0.6813, 0.9560], [0.9978, 0.9978, 0.0065]]
}

Model two:
{
  "formula": "BaPtRh2",
  "functional": "GGA-PBEsol",
  "state": "optimized geometry",
  "cell": [[-3.7500, -0.3198, -1.5197], [1.6214, -1.2877, -3.7300], [-0.1882, -4.0533, 1.3175]],
  "species": ["Rh", "Ba", "Pt", "Rh"],
  "frac_coords": [[0.0000, 0.5000, 0.0000], [0.5000, 0.5000, 0.5000], [0.5000, 0.0000, 0.0000], [0.0000, 0.0000, 0.5000]]
}

Stability ranking, top entry: model one; the second entry is 48.7 kJ/mol of atoms less favorable.